Entry 1:
VASP calculation (GGA-PBEsol) on a relaxed structure of CoTe2.

Lattice parameters (Å, degrees): 3.7277 3.7277 5.3612 90.00 90.00 120.00
Space group P-3m1 (No. 164)
Symmetry-distinct sites (fractional):
Co 0.0000 0.0000 0.0000 [1 per cell]
Te 0.3333 0.6667 0.2439 [2 per cell]

DOS(E_F), states/eV/cell: 1.6
Energy relative to the elements, uncorrected, kJ/mol of atoms: -23.7
Spin magnetization, μB/cell: 0.00

---

Entry 2:
VASP calculation (GGA-PBEsol) on a relaxed structure of CoTe.

Lattice parameters (Å, degrees): 3.8502 3.8502 5.2002 90.00 90.00 120.00
Space group P6_3/mmc (No. 194)
Symmetry-distinct sites (fractional):
Co 0.0000 0.0000 0.0000 [2 per cell]
Te 0.3333 0.6667 0.2500 [2 per cell]

DOS(E_F), states/eV/cell: 3.0
Energy relative to the elements, uncorrected, kJ/mol of atoms: -12.2
Spin magnetization, μB/cell: 0.00

---

Entry 3:
VASP calculation (GGA-PBEsol) on a relaxed structure of Co2Te.

Lattice parameters (Å, degrees): 3.564 3.564 14.354 90.00 90.00 90.00
Space group I4_1/amd (No. 141, origin choice 2)
Symmetry-distinct sites (fractional):
Co 0.000 0.250 0.296 [8 per cell]
Te 0.000 0.250 0.875 [4 per cell]

DOS(E_F), states/eV/cell: 14.9
Energy relative to the elements, uncorrected, kJ/mol of atoms: 42.4
Energy above the lowest structure with this stoichiometry, meV/atom: 488
Spin magnetization, μB/cell: 10.20